1.
First-principles (PBE) data for crystalline Sr5Bi3 at its relaxed geometry, as listed in Alexandria.

Unit cell a=13.6810 b=10.3066 c=8.9592 alpha=90.00 beta=90.00 gamma=90.00
With the nearest neighbours (Å) after each atom.
Space group Pnma (No. 62)
Symmetry-distinct sites (fractional):
Sr (0.0038, 0.2500, 0.0347)  5 Bi 3.49-3.54
Sr (0.0811, 0.0404, 0.6889)  4 Bi 3.29-3.59
Sr (0.2043, 0.7500, 0.3459)  5 Bi 3.32-3.72
Sr (0.2257, 0.2500, 0.3197)  5 Bi 3.42-3.63
Bi (0.0146, 0.7500, 0.5770)  7 Sr 3.29-3.49
Bi (0.1711, 0.5107, 0.0606)  8 Sr 3.54-3.72

Results
The calculation puts the formation energy at -873 meV/atom. The calculation puts the distance to the lowest polymorph of the same formula at 0.008 eV per atom.



2.
First-principles (PBE) data for crystalline GaPRuAu2S at its relaxed geometry, as listed in Alexandria.

Unit cell a=5.4350 b=3.6076 c=5.5806 alpha=90.00 beta=98.91 gamma=90.00
With the nearest neighbours (Å) after each atom.
Space group Pm (No. 6)
Symmetry-distinct sites (fractional):
Ga (0.0000, 0.0000, 0.0000)  1 S 2.28, 1 Ru 2.53
P (0.7574, 0.5000, 0.3466)  2 Ru 2.30, 2 Au 2.39-2.49
Ru (0.5756, 0.0000, 0.1316)  2 P 2.30, 1 S 2.39, 1 Ga 2.53
Au (0.2122, 0.5000, 0.3242)  1 P 2.49, 2 Ga 2.69
Au (0.6877, 0.5000, 0.7582)  1 P 2.39
S (0.2989, 0.0000, 0.7550)  1 Ga 2.28, 1 Ru 2.39

Results
As for the uncorrected formation energy: -0.033 eV per atom. The calculation puts the distance to the lowest polymorph of the same formula at 0.114 eV per atom.



3.
First-principles (PBE) data for crystalline LaMg2Sb at its relaxed geometry, as listed in Alexandria.

Unit cell a=4.4962 b=4.8250 c=10.1362 alpha=90.00 beta=90.00 gamma=90.00
With the nearest neighbours (Å) after each atom.
Space group Imm2 (No. 44)
Symmetry-distinct sites (fractional):
La (0.0000, 0.0000, 0.0000)  8 Mg 3.33-3.47, 4 Sb 3.35-3.53
Mg (0.0000, 0.0000, 0.4531)  2 Sb 3.08, 2 Mg 3.24, 4 La 3.33
Mg (0.0000, 0.5000, 0.2397)  2 Mg 3.24, 4 Sb 3.30, 4 La 3.42-3.47
Sb (0.0000, 0.5000, 0.7455)  6 Mg 3.08-3.30, 2 La 3.35

Results
As for the uncorrected formation energy: -0.363 eV per atom.



Listing spin magnetization for the structures above in their given order: 3.9 0.0 0.6 μB per cell.
Listing calculated volume for the structures above in their given order: 39.48 18.02 27.49 A^3/atom.
Listing raw total energy for the structures above in their given order: -108.16 -28.59 -27.38 eV per cell.